# BaNiTeI2

A PBEsol-optimized structure of BaNiTeI2 (SCAN, the Alexandria database).

Geometry as extended XYZ:
```
5
Lattice="5.264 0.000 0.000 0.000 5.264 0.000 0.000 0.000 5.350" Properties=species:S:1:pos:R:3 pbc="T T T"
Ni 0.000 0.000 0.000
I 2.632 0.000 0.000
I 0.000 2.632 0.000
Ba 2.632 2.632 2.675
Te 0.000 0.000 2.675
```

- space-group type = P4/mmm
- E_form (uncorrected) (eV/atom) = -0.84
- electronic total energy (eV per atom) = -34.13
- DOS at the Fermi energy (states/eV per cell) = 2.0